Density functional theory data (PBE-GGA) for CaYZn2 after structural relaxation.

space-group type: I-4m2
ΔH_f (0 K): -0.047 eV/atom

abc: 5.8965 5.8965 5.8965
angles: 136.33 136.33 63.47
Sites, in units of the cell vectors:
Ca  0.0000  0.0000  0.0000
Y  0.2500  0.7500  0.5000
Zn  0.5000  0.5000  0.0000
Zn  0.7500  0.2500  0.5000